[1]
Crystalline La2NdIr at its relaxed geometry, computed with PBE.

```
La2NdIr
1.0
-3.9512 0.1998 -0.3650
-2.2208 -3.2301 0.6482
-2.8788 1.6290 10.4306
La Ir Nd
2 1 1
Direct
0.8855 0.8855 0.3434 La
0.1145 0.1145 0.6566 La
0.5000 0.5000 0.5000 Ir
0.0000 0.0000 0.0000 Nd
```

## Properties
As for the total magnetization: 0.204 μB per atom. The value obtained for the total DFT energy (no corrections) is -24.2 eV for the cell shown. The calculation puts the volume at 36.6 Å³/atom.

[2]
Crystalline Ta3Nb2H8 at its relaxed geometry, computed with PBE.

```
Ta3Nb2H8
1.0
-2.2524 0.9322 1.4326
-3.3956 -1.4703 -4.3820
-1.6633 -7.1277 2.0226
Nb H Ta
2 8 3
Direct
0.5000 0.2018 0.3112 Nb
0.5000 0.7982 0.6888 Nb
0.5000 0.1364 0.5783 H
0.0000 0.7842 0.9034 H
0.0000 0.2158 0.0966 H
0.5000 0.4499 0.8127 H
0.0000 0.6369 0.5757 H
0.5000 0.5501 0.1873 H
0.0000 0.3631 0.4243 H
0.5000 0.8636 0.4217 H
0.0000 0.3018 0.6843 Ta
0.5000 0.0000 0.0000 Ta
0.0000 0.6982 0.3157 Ta
```

## Properties
As for the total magnetization: 0.000 μB per atom. The value obtained for the total DFT energy (no corrections) is -83.1 eV for the cell shown. The calculation puts the volume at 9.3 Å³/atom.

[3]
Crystalline Cd2FeOs at its relaxed geometry, computed with PBE.

```
Cd2FeOs
1.0
-3.2164 4.2937 0.6773
-4.9813 2.0801 -0.3157
-2.2972 -0.0531 4.2015
Os Cd Fe
1 2 1
Direct
0.2210 0.2210 0.2569 Os
0.7660 0.7660 0.7178 Cd
0.9867 0.9867 0.0311 Cd
0.5263 0.5263 0.4942 Fe
```

## Properties
As for the total magnetization: 0.763 μB per atom. The value obtained for the total DFT energy (no corrections) is -19.6 eV for the cell shown. The calculation puts the volume at 17.1 Å³/atom.

[4]
Crystalline V2IrS4 at its relaxed geometry, computed with PBE.

```
V2IrS4
1.0
-1.3607 1.7874 2.4559
0.3091 -4.6238 3.5365
5.5355 3.2848 -1.5792
V S Ir
2 4 1
Direct
0.2609 0.2030 0.5219 V
0.7391 0.7970 0.4781 V
0.6408 0.3003 0.2816 S
0.1068 0.7622 0.2136 S
0.8932 0.2378 0.7864 S
0.3592 0.6997 0.7184 S
0.0000 0.0000 0.0000 Ir
```

## Properties
Its formation energy from raw total energies is -71 kJ per mole of atoms. As for the total magnetization: 0.000 μB per atom. The value obtained for the total DFT energy (no corrections) is -48.7 eV for the cell shown. The calculation puts the volume at 15.3 Å³/atom.

[5]
Crystalline KBeVTe3 at its relaxed geometry, computed with PBE.

```
KBeVTe3
1.0
4.0445 0.0000 0.0000
0.0000 9.5637 0.3225
0.0000 -4.2668 8.9271
Te K Be V
6 2 2 2
Direct
0.7500 0.4652 0.1689 Te
0.2500 0.1464 0.8533 Te
0.2500 0.7922 0.4547 Te
0.2500 0.5348 0.8311 Te
0.7500 0.8536 0.1467 Te
0.7500 0.2078 0.5453 Te
0.7500 0.8127 0.7695 K
0.2500 0.1873 0.2305 K
0.7500 0.9229 0.4099 Be
0.2500 0.0771 0.5901 Be
0.7500 0.3599 0.8752 V
0.2500 0.6401 0.1248 V
```

## Properties
Its formation energy from raw total energies is -50 kJ per mole of atoms. As for the total magnetization: 0.334 μB per atom. The value obtained for the total DFT energy (no corrections) is -53.0 eV for the cell shown. The calculation puts the volume at 29.2 Å³/atom.

[6]
Crystalline Pu3Ga4Au4 at its relaxed geometry, computed with PBE.

```
Pu3Ga4Au4
1.0
-1.3812 3.3795 -2.4277
6.4043 0.0201 -3.6156
-5.2196 -6.2708 -1.8005
Ga Au Pu
4 4 3
Direct
0.5000 0.1776 0.0000 Ga
0.2246 0.7246 0.4491 Ga
0.7754 0.2754 0.5509 Ga
0.5000 0.8224 0.0000 Ga
0.3319 0.5264 0.6637 Au
0.3319 0.1374 0.6637 Au
0.6681 0.8626 0.3363 Au
0.6681 0.4736 0.3363 Au
0.8781 0.8781 0.7563 Pu
0.0000 0.5000 0.0000 Pu
0.1219 0.1219 0.2437 Pu
```

## Properties
As for the total magnetization: 1.558 μB per atom. The value obtained for the total DFT energy (no corrections) is -72.5 eV for the cell shown. The calculation puts the volume at 21.0 Å³/atom.